Record 1
This record from the Alexandria database describes LaSc2Cl at its PBEsol-relaxed geometry. The functional is meta-GGA SCAN.

Structure (CIF):
```
data_LaSc2Cl
_cell_length_a 3.310
_cell_length_b 4.952
_cell_length_c 11.522
_cell_angle_alpha 90.00
_cell_angle_beta 90.00
_cell_angle_gamma 90.00
_space_group_name_H-M_alt 'A m m 2'
_space_group_IT_number 38
loop_
_space_group_symop_operation_xyz
'x,y,z'
'-x,-y,z'
'-x,y,z'
'x,-y,z'
'x,y+1/2,z+1/2'
'-x,-y+1/2,z+1/2'
'-x,y+1/2,z+1/2'
'x,-y+1/2,z+1/2'
loop_
_atom_site_label
_atom_site_fract_x
_atom_site_fract_y
_atom_site_fract_z
La1 0.000 0.000 0.000
Sc1 0.000 0.000 0.282
Sc2 0.500 0.000 0.700
Cl1 0.500 0.000 0.478
```

- Excess energy over the best structure of this formula in the dataset: 0.00 kJ per mole of atoms
- Theoretical density: 4647 kg/m³
- Fermi-level density of states: 1.1642 states/eV per atom
- ΔE_f (raw): -0.67 eV/atom

---

Record 2
This record from the Alexandria database describes LaSc2Cl at its PBEsol-relaxed geometry. The functional is meta-GGA SCAN.

Structure (CIF):
```
data_LaSc2Cl
_cell_length_a 3.403
_cell_length_b 5.767
_cell_length_c 9.612
_cell_angle_alpha 90.00
_cell_angle_beta 90.00
_cell_angle_gamma 90.00
_space_group_name_H-M_alt 'C m m m'
_space_group_IT_number 65
_space_group_name_Hall '-C 2 2'
loop_
_atom_site_label
_atom_site_fract_x
_atom_site_fract_y
_atom_site_fract_z
La1 0.000 0.000 0.000
Sc1 0.000 0.500 0.287
Cl1 0.000 0.000 0.500
```

- Excess energy over the best structure of this formula in the dataset: 13.80 kJ per mole of atoms
- Theoretical density: 4652 kg/m³
- Fermi-level density of states: 1.2907 states/eV per atom
- ΔE_f (raw): -0.52 eV/atom

---

Question: What is the theoretical density in the first record?
Answer: 4647 kg/m³

---

Question: Which value of Fermi-level density of states does entry 1 give?
Answer: 1.1642 states/eV per atom

---

Question: excess energy over the best structure of this formula in the dataset of number 1 (LaSc2Cl)?
Answer: 0.00 kJ per mole of atoms

---

Question: Number 1 is which compound?
Answer: LaSc2Cl